# 1
B4W2Au: optimized geometry, PBE.

a b c (Å): 4.0892 4.0892 11.1998
angles (deg): 90.00 90.00 90.00
Closest atoms and distances in Å follow each position.
Space group I4/mmm (No. 139)
Unique sites:
B 0.0000 0.0000 0.1929  1 W 2.09, 1 Au 2.16
B 0.0000 0.5000 0.0000  2 Au 2.04
W 0.0000 0.0000 0.3797  1 B 2.09
Au 0.0000 0.0000 0.0000  6 B 2.04-2.16

Formation energy from the elements (eV per atom): 1.5384
Density of states at the Fermi level (states/eV per cell): 7.16
Total moment (μB per atom): 0.00

# 2
B2WAu: optimized geometry, PBE.

a b c (Å): 5.0740 5.0740 9.3183
angles (deg): 90.00 90.00 90.00
Closest atoms and distances in Å follow each position.
Space group I-42d (No. 122)
Unique sites:
B 0.2428 0.2500 0.1250  2 W 2.12, 2 Au 2.16
W 0.0000 0.0000 0.0000  4 B 2.12
Au 0.0000 0.0000 0.5000  4 B 2.16

Formation energy from the elements (eV per atom): 0.9434
Density of states at the Fermi level (states/eV per cell): 9.50
Energy above the lowest structure with this stoichiometry (eV/atom): 0.014
Total moment (μB per atom): 0.00

# 3
BWAu2: optimized geometry, PBE.

a b c (Å): 4.5728 4.5728 13.9065
angles (deg): 90.00 90.00 90.00
Closest atoms and distances in Å follow each position.
Space group I-42d (No. 122)
Unique sites:
B 0.0000 0.0000 0.0000  4 Au 2.23
W 0.0000 0.0000 0.5000  4 Au 2.56
Au 0.1733 0.2500 0.1250  2 B 2.23

Formation energy from the elements (eV per atom): 1.3291
Density of states at the Fermi level (states/eV per cell): 11.26
Total moment (μB per atom): 0.00

# 4
B3WAu: optimized geometry, PBE.

a b c (Å): 4.1997 4.1997 4.1997
angles (deg): 90.00 90.00 90.00
Closest atoms and distances in Å follow each position.
Space group Pm-3m (No. 221)
Unique sites:
B 0.0000 0.0000 0.5000  2 W 2.10
W 0.0000 0.0000 0.0000  6 B 2.10
Au 0.5000 0.5000 0.5000  12 B 2.97

Formation energy from the elements (eV per atom): 1.5081
Density of states at the Fermi level (states/eV per cell): 2.34
Energy above the lowest structure with this stoichiometry (eV/atom): 0.000
Total moment (μB per atom): 0.00

# 5
BWAu3: optimized geometry, PBE.

a b c (Å): 4.3332 4.3332 4.3332
angles (deg): 90.00 90.00 90.00
Closest atoms and distances in Å follow each position.
Space group Pm-3m (No. 221)
Unique sites:
B 0.0000 0.0000 0.0000  6 Au 2.17
W 0.5000 0.5000 0.5000  12 Au 3.06
Au 0.0000 0.0000 0.5000  2 B 2.17

Formation energy from the elements (eV per atom): 0.9677
Density of states at the Fermi level (states/eV per cell): 3.29
Energy above the lowest structure with this stoichiometry (eV/atom): 0.000
Total moment (μB per atom): 0.00

# 6
B3WAu: optimized geometry, PBE.

a b c (Å): 4.0858 4.0858 4.0858
angles (deg): 90.00 90.00 90.00
Closest atoms and distances in Å follow each position.
Space group Pm-3m (No. 221)
Unique sites:
B 0.0000 0.0000 0.5000  2 Au 2.04
W 0.5000 0.5000 0.5000  12 B 2.89
Au 0.0000 0.0000 0.0000  6 B 2.04

Formation energy from the elements (eV per atom): 2.3141
Density of states at the Fermi level (states/eV per cell): 5.42
Energy above the lowest structure with this stoichiometry (eV/atom): 0.806
Total moment (μB per atom): 0.00

# 7
BWAu3: optimized geometry, PBE.

a b c (Å): 5.0800 5.0800 5.0800
angles (deg): 90.00 90.00 90.00
Closest atoms and distances in Å follow each position.
Space group Pm-3m (No. 221)
Unique sites:
B 0.0000 0.0000 0.0000  12 Au 3.59
W 0.5000 0.5000 0.5000  6 Au 2.54
Au 0.0000 0.5000 0.5000  2 W 2.54

Formation energy from the elements (eV per atom): 2.0668
Density of states at the Fermi level (states/eV per cell): 4.04
Energy above the lowest structure with this stoichiometry (eV/atom): 1.099
Total moment (μB per atom): 0.00

# 8
BW3Au: optimized geometry, PBE.

a b c (Å): 4.8355 4.8355 4.8355
angles (deg): 90.00 90.00 90.00
Closest atoms and distances in Å follow each position.
Space group Pm-3m (No. 221)
Unique sites:
B 0.0000 0.0000 0.0000  12 W 3.42
W 0.0000 0.5000 0.5000  2 Au 2.42
Au 0.5000 0.5000 0.5000  6 W 2.42

Formation energy from the elements (eV per atom): 3.5878
Density of states at the Fermi level (states/eV per cell): 7.69
Energy above the lowest structure with this stoichiometry (eV/atom): 3.250
Total moment (μB per atom): 0.00

# 9
B2WAu: optimized geometry, PBE.

a b c (Å): 5.6758 5.6758 5.6758
angles (deg): 90.00 90.00 90.00
Closest atoms and distances in Å follow each position.
Space group Fm-3m (No. 225)
Unique sites:
B 0.2500 0.2500 0.2500  4 W 2.46, 4 Au 2.46
W 0.0000 0.0000 0.0000  8 B 2.46
Au 0.0000 0.0000 0.5000  8 B 2.46

Formation energy from the elements (eV per atom): 0.9291
Density of states at the Fermi level (states/eV per cell): 5.78
Energy above the lowest structure with this stoichiometry (eV/atom): 0.000
Total moment (μB per atom): 0.00

# 10
BW3Au: optimized geometry, PBE.

a b c (Å): 4.2131 4.2131 4.2131
angles (deg): 90.00 90.00 90.00
Closest atoms and distances in Å follow each position.
Space group Pm-3m (No. 221)
Unique sites:
B 0.0000 0.0000 0.0000  6 W 2.11
W 0.0000 0.0000 0.5000  2 B 2.11
Au 0.5000 0.5000 0.5000  12 W 2.98

Formation energy from the elements (eV per atom): 0.3379
Density of states at the Fermi level (states/eV per cell): 1.82
Energy above the lowest structure with this stoichiometry (eV/atom): 0.000
Total moment (μB per atom): 0.00

# 11
Y3BAu: optimized geometry, PBE.

a b c (Å): 4.9927 4.9927 4.9927
angles (deg): 90.00 90.00 90.00
Closest atoms and distances in Å follow each position.
Space group Pm-3m (No. 221)
Unique sites:
Y 0.0000 0.0000 0.5000  2 B 2.50
B 0.0000 0.0000 0.0000  6 Y 2.50
Au 0.5000 0.5000 0.5000  12 Y 3.53

Formation energy from the elements (eV per atom): -0.2059
Density of states at the Fermi level (states/eV per cell): 5.33
Energy above the lowest structure with this stoichiometry (eV/atom): 0.000
Total moment (μB per atom): 0.00

# 12
YB2Au: optimized geometry, PBE.

a b c (Å): 6.1264 6.1264 6.1264
angles (deg): 90.00 90.00 90.00
Closest atoms and distances in Å follow each position.
Space group Fm-3m (No. 225)
Unique sites:
Y 0.0000 0.0000 0.0000  8 B 2.65
B 0.2500 0.2500 0.2500  4 Y 2.65, 4 Au 2.65
Au 0.0000 0.0000 0.5000  8 B 2.65

Formation energy from the elements (eV per atom): 0.5255
Density of states at the Fermi level (states/eV per cell): 0.58
Energy above the lowest structure with this stoichiometry (eV/atom): 0.377
Total moment (μB per atom): 0.00